(1)
PBE CaMoSe2, relaxed; symmetry = P4mm (99); energy above the lowest structure with this stoichiometry = 119 meV per atom; E_form (uncorrected) = -0.658 eV per atom; crystal system = tetragonal; volume = 23.0 Å³ per atom; N(E_F) = 1.5 states/eV/cell
1.0
4.029 0.000 0.000
0.000 4.029 0.000
0.000 0.000 5.666
Se Ca Mo
2 1 1
direct
0.500 0.500 0.376
0.000 0.000 0.874
0.000 0.000 0.374
0.500 0.500 0.876



(2)
PBE RbTl3Sb2, relaxed; symmetry = Cmcm (63); energy above the lowest structure with this stoichiometry = 64 meV per atom; E_form (uncorrected) = -0.088 eV per atom; crystal system = orthorhombic; volume = 36.2 Å³ per atom; N(E_F) = 3.6 states/eV/cell
1.0
6.390 0.000 0.000
0.000 8.286 0.644
0.000 -2.127 8.035
Rb Sb Tl
2 4 6
direct
0.750 0.645 0.645
0.250 0.355 0.355
0.500 0.748 0.252
0.000 0.252 0.748
0.500 0.252 0.748
0.000 0.748 0.252
0.250 0.002 0.002
0.750 0.998 0.998
0.750 0.099 0.406
0.750 0.406 0.099
0.250 0.594 0.901
0.250 0.901 0.594



(3)
PBE Sm4Dy5Y3, relaxed; symmetry = P-1 (2); energy above the lowest structure with this stoichiometry = 0 meV per atom; crystal system = triclinic; energy of formation from the pure elements = 0.017 eV per atom; volume = 32.4 Å³ per atom; N(E_F) = 15.5 states/eV/cell
1.0
6.903 -0.384 1.847
-5.225 7.482 -6.694
4.099 -3.868 11.601
Dy Sm Y
5 4 3
direct
0.669 0.334 0.166
0.331 0.666 0.834
0.751 0.500 0.000
0.249 0.500 0.000
0.500 0.000 0.500
0.083 0.165 0.333
0.917 0.835 0.667
0.831 0.664 0.833
0.169 0.336 0.167
0.418 0.835 0.667
0.000 0.000 0.500
0.582 0.165 0.333



> Which formula does entry 3 have?

Sm4Dy5Y3



> Number 2 is which compound?

RbTl3Sb2



> What is the N(E_F) in the first record?

1.5 states/eV/cell



> Which of these has the highest N(E_F)?

Sm4Dy5Y3